1.
# LiInGa2

Crystalline LiInGa2 at its relaxed geometry (PBE-GGA, the Alexandria database).

Computed properties:
For the total magnetization, the calculation gives 0.0 Bohr magnetons per cell. The value obtained for the calculated formation energy is -3.1 kJ/mol of atoms. The calculation puts the raw total energy at -43.34 eV per cell. The theoretical density comes out at 5.3 Mg/m³. The calculation puts the calculated volume at 20.6 Å³/atom.

Lattice parameters (Å, degrees): 4.1630 4.1630 18.9779 90.00 90.00 90.00
With the nearest neighbours (Å) after each atom.
Space group I-42d (No. 122)
Unique sites:
Li 0.0000 0.0000 0.0000  4 Ga 2.73, 4 In 2.94
In 0.0000 0.0000 0.5000  4 Ga 2.86, 4 Li 2.94
Ga 0.2083 0.2500 0.1250  2 Ga 2.71, 2 Li 2.73, 2 In 2.86

2.
# SrCd6Au3

Crystalline SrCd6Au3 at its relaxed geometry (PBE-GGA, the Alexandria database).

Computed properties:
For the total magnetization, the calculation gives 0.0 Bohr magnetons per cell. The value obtained for the calculated formation energy is -27.8 kJ/mol of atoms. The calculation puts the raw total energy at -39.76 eV per cell. The theoretical density comes out at 9.7 Mg/m³. The calculation puts the calculated volume at 23.1 Å³/atom.

Lattice parameters (Å, degrees): 9.2183 4.7959 10.6313 90.00 100.27 90.00
With the nearest neighbours (Å) after each atom.
Space group P2_1/m (No. 11)
Unique sites:
Sr 0.0697 0.2500 0.2672  5 Au 3.24-3.49, 10 Cd 3.38-3.59
Cd 0.1250 0.2500 0.6098  4 Au 2.82-3.02
Cd 0.1525 0.7500 0.0393  5 Au 2.90-3.24, 1 Cd 3.02
Cd 0.3030 0.7500 0.7730  4 Au 2.90-3.15, 4 Cd 3.07-3.23
Cd 0.3586 0.7500 0.2948  3 Au 2.81-2.84, 5 Cd 2.94-3.06
Cd 0.3994 0.2500 0.4668  6 Cd 3.00-3.17, 3 Au 3.07-3.29
Cd 0.4675 0.2500 0.9117  4 Au 2.86-2.96, 5 Cd 2.94-3.07
Au 0.1448 0.2500 0.8844  7 Cd 2.89-3.15
Au 0.2013 0.7500 0.4986  7 Cd 2.81-3.07
Au 0.3737 0.2500 0.1540  6 Cd 2.84-2.96

Question: raw total energy of number 2 (SrCd6Au3)?
Answer: -39.76 eV per cell